The following is a GGA-PBE calculation of LiScSiPd after structural relaxation, from Alexandria via LeMat-Bulk.

Properties
SG = F-43m (216)
ΔE_f (raw) = -746 meV/atom

a = 4.390 Å, b = 4.390 Å, c = 4.390 Å
α = 60.00°, β = 60.00°, γ = 60.00°
Sites, in units of the cell vectors:
Si 0.750 0.750 0.750
Pd 0.500 0.500 0.500
Li 0.000 0.000 0.000
Sc 0.250 0.250 0.250

The following is a GGA-PBE calculation of LiSmSc2Pd4 after structural relaxation, from Alexandria via LeMat-Bulk.

Properties
SG = R-3m (166)
Energy of formation = -583.1 kJ/mol of formula units
N(E_F) = 4.0 states/eV/f.u.

a = 4.609 Å, b = 4.609 Å, c = 8.607 Å
α = 74.47°, β = 74.47°, γ = 60.00°
Sites, in units of the cell vectors:
Pd 0.875 0.875 0.375
Pd 0.394 0.394 0.818
Pd 0.125 0.125 0.625
Pd 0.606 0.606 0.182
Sm 0.000 0.000 0.000
Li 0.500 0.500 0.500
Sc 0.236 0.236 0.292
Sc 0.764 0.764 0.708

The following is a GGA-PBE calculation of LiScSnPd after structural relaxation, from Alexandria via LeMat-Bulk.

Properties
SG = F-43m (216)
Energy of formation = -305.2 kJ/mol of formula units
N(E_F) = 0.1 states/eV/f.u.

a = 4.615 Å, b = 4.615 Å, c = 4.615 Å
α = 60.00°, β = 60.00°, γ = 60.00°
Sites, in units of the cell vectors:
Sc 0.750 0.750 0.750
Pd 0.000 0.000 0.000
Li 0.500 0.500 0.500
Sn 0.250 0.250 0.250

no.,calculated total energy (Ry per atom)
1,-0.401
2,-0.424
3,-0.379